Entry P
Density functional theory data (GGA-PBE) for crystalline K2AlC at its relaxed geometry.

The structure in CIF format:
```
data_K2AlC
_cell_length_a 7.739
_cell_length_b 7.739
_cell_length_c 7.739
_cell_angle_alpha 90.00
_cell_angle_beta 90.00
_cell_angle_gamma 90.00
_symmetry_space_group_name_H-M 'P 1'
_symmetry_Int_Tables_number 1
loop_
_symmetry_equiv_pos_as_xyz
'x,y,z'
loop_
_atom_site_label
_atom_site_type_symbol
_atom_site_fract_x
_atom_site_fract_y
_atom_site_fract_z
K1 K 0.250 0.250 0.250
K2 K 0.250 0.250 0.750
K3 K 0.250 0.750 0.250
K4 K 0.250 0.750 0.750
K5 K 0.750 0.250 0.250
K6 K 0.750 0.250 0.750
K7 K 0.750 0.750 0.250
K8 K 0.750 0.750 0.750
Al1 Al 0.000 0.000 0.000
Al2 Al 0.000 0.500 0.500
Al3 Al 0.500 0.000 0.500
Al4 Al 0.500 0.500 0.000
C1 C 0.000 0.000 0.500
C2 C 0.000 0.500 0.000
C3 C 0.500 0.000 0.000
C4 C 0.500 0.500 0.500
```

Entry Q
Density functional theory data (GGA-PBE) for crystalline K2AlC at its relaxed geometry.

The structure in CIF format:
```
data_K2AlC
_cell_length_a 12.446
_cell_length_b 12.446
_cell_length_c 3.744
_cell_angle_alpha 90.00
_cell_angle_beta 90.00
_cell_angle_gamma 90.00
_symmetry_space_group_name_H-M 'P 1'
_symmetry_Int_Tables_number 1
loop_
_symmetry_equiv_pos_as_xyz
'x,y,z'
loop_
_atom_site_label
_atom_site_type_symbol
_atom_site_fract_x
_atom_site_fract_y
_atom_site_fract_z
K1 K 0.045 0.250 0.125
K2 K 0.250 0.545 0.375
K3 K 0.250 0.955 0.875
K4 K 0.455 0.250 0.625
K5 K 0.545 0.750 0.625
K6 K 0.750 0.045 0.875
K7 K 0.750 0.455 0.375
K8 K 0.955 0.750 0.125
Al1 Al 0.000 0.000 0.500
Al2 Al 0.000 0.500 0.750
Al3 Al 0.500 0.000 0.250
Al4 Al 0.500 0.500 0.000
C1 C 0.000 0.000 0.000
C2 C 0.000 0.500 0.250
C3 C 0.500 0.000 0.750
C4 C 0.500 0.500 0.500
```

It turns out entry Q is the most stable, with the second structure 100.4 kJ/mol of atoms higher.